No. 1
A relaxed LaPmBi2 crystal, computed with PBE-GGA.

The energy relative to the lowest polymorph listed for this composition comes out at 46 meV/atom. Its crystal system is hexagonal. The calculation puts the formation enthalpy at 0 K at -368 kJ/mol of formula units. As for the spin magnetization: 0.000 μB/cell.

The space group is P6_3/mmc (No. 194) and the conventional cell measures 4.6141, 4.6141 and 15.3809 Å, with angles of 90.00, 90.00 and 120.00 degrees. Symmetry generates all atoms from La at (0.3333, 0.6667, 0.2500), Pm at (0.0000, 0.0000, 0.0000) and Bi at (0.3333, 0.6667, 0.6199).

No. 2
A relaxed CsInTe2 crystal, computed with PBE-GGA.

The formation energy from raw total energies is -0.49 eV/atom. Its crystal system is monoclinic. As for the spin magnetization: 0.000 μB/cell.

The space group is P2_1/m (No. 11) and the conventional cell measures 6.516, 5.892 and 8.965 Å, with angles of 90.00, 94.62 and 90.00 degrees. Symmetry generates all atoms from Cs at (0.240, 0.250, 0.401), In at (0.228, 0.750, 0.902), Te at (0.067, 0.250, 0.818) and Te at (0.453, 0.750, 0.201).

No. 3
A relaxed GeMo3Os crystal, computed with PBE-GGA.

The energy relative to the lowest polymorph listed for this composition comes out at 24 meV/atom. Its crystal system is cubic. The calculation puts the formation enthalpy at 0 K at 788 kJ/mol of formula units. As for the spin magnetization: 2.146 μB/cell.

The space group is Pm-3m (No. 221) and the conventional cell measures 4.763, 4.763 and 4.763 Å, with angles of 90.00, 90.00 and 90.00 degrees. Symmetry generates all atoms from Ge at (0.000, 0.000, 0.000), Mo at (0.000, 0.500, 0.500) and Os at (0.500, 0.500, 0.500).

No. 4
A relaxed HoSc4Au5 crystal, computed with PBE-GGA.

Its crystal system is tetragonal. The calculation puts the formation enthalpy at 0 K at -786 kJ/mol of formula units. As for the spin magnetization: 0.000 μB/cell.

The space group is P4/mmm (No. 123) and the conventional cell measures 3.426, 3.426 and 17.352 Å, with angles of 90.00, 90.00 and 90.00 degrees. Symmetry generates all atoms from Ho at (0.000, 0.000, 0.000), Sc at (0.000, 0.000, 0.206), Sc at (0.000, 0.000, 0.402), Au at (0.500, 0.500, 0.112), Au at (0.500, 0.500, 0.304) and Au at (0.500, 0.500, 0.500).

No. 5
A relaxed PrIn3Bi3 crystal, computed with PBE-GGA.

Its crystal system is orthorhombic. The calculation puts the formation enthalpy at 0 K at -120 kJ/mol of formula units. As for the spin magnetization: 0.000 μB/cell.

The space group is Cmmm (No. 65) and the conventional cell measures 9.801, 9.853 and 9.400 Å, with angles of 90.00, 90.00 and 90.00 degrees. Symmetry generates all atoms from Pr at (0.000, 0.244, 0.000), In at (0.000, 0.302, 0.500), In at (0.226, 0.500, 0.000), In at (0.237, 0.000, 0.500), Bi at (0.000, 0.000, 0.250) and Bi at (0.250, 0.250, 0.250).

No. 6
A relaxed Li2TiF crystal, computed with PBE-GGA.

The energy relative to the lowest polymorph listed for this composition comes out at 779 meV/atom. The formation energy from raw total energies is 0.00 eV/atom. Its crystal system is cubic. As for the spin magnetization: 12.590 μB/cell.

The space group is Fm-3m (No. 225) and the conventional cell measures 6.509, 6.509 and 6.509 Å, with angles of 90.00, 90.00 and 90.00 degrees. Symmetry generates all atoms from Li at (0.250, 0.250, 0.250), Ti at (0.000, 0.000, 0.000) and F at (0.000, 0.000, 0.500).

No. 7
A relaxed LiThMg2In4 crystal, computed with PBE-GGA.

Its crystal system is trigonal. The calculation puts the formation enthalpy at 0 K at -153 kJ/mol of formula units. As for the spin magnetization: 0.000 μB/cell.

The space group is R-3m (No. 166, hexagonal axes) and the conventional cell measures 5.0414, 5.0414 and 26.3591 Å, with angles of 90.00, 90.00 and 120.00 degrees. Symmetry generates all atoms from Li at (0.0000, 0.0000, 0.0000), Th at (0.0000, 0.0000, 0.5000), Mg at (0.0000, 0.0000, 0.2496), In at (0.0000, 0.0000, 0.1122) and In at (0.0000, 0.0000, 0.3686).

No. 8
A relaxed ThNiHg crystal, computed with PBE-GGA.

Its crystal system is tetragonal. The calculation puts the formation enthalpy at 0 K at -45 kJ/mol of formula units. As for the spin magnetization: 0.000 μB/cell.

The space group is I4mm (No. 107) and the conventional cell measures 3.396, 3.396 and 11.266 Å, with angles of 90.00, 90.00 and 90.00 degrees. Symmetry generates all atoms from Th at (0.000, 0.000, 0.000), Ni at (0.000, 0.000, 0.649) and Hg at (0.000, 0.000, 0.288).

No. 9
A relaxed Cr4AsP crystal, computed with PBE-GGA.

Its crystal system is cubic. The calculation puts the formation enthalpy at 0 K at 220 kJ/mol of formula units. As for the spin magnetization: 0.001 μB/cell.

The space group is F-43m (No. 216) and the conventional cell measures 6.759, 6.759 and 6.759 Å, with angles of 90.00, 90.00 and 90.00 degrees. Symmetry generates all atoms from Cr at (0.125, 0.125, 0.125), As at (0.000, 0.000, 0.500) and P at (0.250, 0.250, 0.750).

No. 10
A relaxed NiBP crystal, computed with PBE-GGA.

The energy relative to the lowest polymorph listed for this composition comes out at 171 meV/atom. Its crystal system is orthorhombic. The calculation puts the formation enthalpy at 0 K at 2 kJ/mol of formula units. As for the spin magnetization: 0.281 μB/cell.

The space group is Amm2 (No. 38) and the conventional cell measures 2.495, 3.168 and 9.149 Å, with angles of 90.00, 90.00 and 90.00 degrees. Symmetry generates all atoms from Ni at (0.000, 0.000, 0.000), B at (0.500, 0.000, 0.822) and P at (0.500, 0.000, 0.201).

No. 11
A relaxed VHg2Br4 crystal, computed with PBE-GGA.

The formation energy from raw total energies is -0.37 eV/atom. Its crystal system is tetragonal. As for the spin magnetization: 2.183 μB/cell.

The space group is I4/mmm (No. 139) and the conventional cell measures 5.123, 5.123 and 17.549 Å, with angles of 90.00, 90.00 and 90.00 degrees. Symmetry generates all atoms from V at (0.000, 0.000, 0.000), Hg at (0.000, 0.000, 0.349), Br at (0.000, 0.000, 0.139) and Br at (0.000, 0.500, 0.000).

No. 12
A relaxed MgP2Cl4 crystal, computed with PBE-GGA.

The formation energy from raw total energies is -0.24 eV/atom. Its crystal system is orthorhombic. As for the spin magnetization: 0.000 μB/cell.

The space group is Pbam (No. 55) and the conventional cell measures 6.746, 17.199 and 3.263 Å, with angles of 90.00, 90.00 and 90.00 degrees. Symmetry generates all atoms from Mg at (0.000, 0.000, 0.000), P at (0.226, 0.315, 0.500), Cl at (0.062, 0.760, 0.000) and Cl at (0.211, 0.056, 0.500).

No. 13
A relaxed Pu4AlRu4 crystal, computed with PBE-GGA.

Its crystal system is tetragonal. The calculation puts the formation enthalpy at 0 K at 41 kJ/mol of formula units. As for the spin magnetization: 5.671 μB/cell.

The space group is I4/m (No. 87) and the conventional cell measures 7.956, 7.956 and 4.818 Å, with angles of 90.00, 90.00 and 90.00 degrees. Symmetry generates all atoms from Pu at (0.138, 0.165, 0.000), Al at (0.000, 0.000, 0.500) and Ru at (0.037, 0.663, 0.500).

No. 14
A relaxed FeAg4Ir crystal, computed with PBE-GGA.

Its crystal system is cubic. The calculation puts the formation enthalpy at 0 K at 405 kJ/mol of formula units. As for the spin magnetization: 14.763 μB/cell.

The space group is F-43m (No. 216) and the conventional cell measures 7.480, 7.480 and 7.480 Å, with angles of 90.00, 90.00 and 90.00 degrees. Symmetry generates all atoms from Fe at (0.000, 0.000, 0.000), Ag at (0.125, 0.125, 0.375) and Ir at (0.250, 0.250, 0.750).

No. 15
A relaxed Pa4Ge3Se crystal, computed with PBE-GGA.

The formation energy from raw total energies is -0.67 eV/atom. Its crystal system is orthorhombic. As for the spin magnetization: 0.000 μB/cell.

The space group is Cmmm (No. 65) and the conventional cell measures 8.212, 11.653 and 4.133 Å, with angles of 90.00, 90.00 and 90.00 degrees. Symmetry generates all atoms from Pa at (0.000, 0.249, 0.000), Pa at (0.248, 0.000, 0.500), Ge at (0.000, 0.000, 0.000), Ge at (0.250, 0.250, 0.500) and Se at (0.000, 0.500, 0.000).

No. 16
A relaxed Mn2Ni9Pd crystal, computed with PBE-GGA.

Its crystal system is tetragonal. The calculation puts the formation enthalpy at 0 K at -53 kJ/mol of formula units. As for the spin magnetization: 11.788 μB/cell.

The space group is P4/mmm (No. 123) and the conventional cell measures 3.591, 3.591 and 10.800 Å, with angles of 90.00, 90.00 and 90.00 degrees. Symmetry generates all atoms from Mn at (0.000, 0.000, 0.164), Ni at (0.000, 0.500, 0.000), Ni at (0.000, 0.500, 0.327), Ni at (0.500, 0.500, 0.164), Ni at (0.500, 0.500, 0.500) and Pd at (0.000, 0.000, 0.500).

No. 17
A relaxed Cs5Zn2Te5 crystal, computed with PBE-GGA.

The formation energy from raw total energies is -0.76 eV/atom. Its crystal system is monoclinic. As for the spin magnetization: 0.002 μB/cell.

The space group is C2/m (No. 12) and the conventional cell measures 17.813, 4.478 and 13.166 Å, with angles of 90.00, 101.21 and 90.00 degrees. Symmetry generates all atoms from Cs at (0.000, 0.000, 0.000), Cs at (0.162, 0.000, 0.597), Cs at (0.212, 0.500, 0.122), Zn at (0.028, 0.500, 0.301), Te at (0.000, 0.500, 0.500), Te at (0.109, 0.500, 0.833) and Te at (0.116, 0.000, 0.290).

No. 18
A relaxed Be2Se crystal, computed with PBE-GGA.

The energy relative to the lowest polymorph listed for this composition comes out at 0 meV/atom. The formation energy from raw total energies is -0.29 eV/atom. Its crystal system is triclinic. As for the spin magnetization: 0.000 μB/cell.

The space group is P-1 (No. 2) and the conventional cell measures 3.533, 3.533 and 9.595 Å, with angles of 79.73, 89.81 and 60.02 degrees. Symmetry generates all atoms from Be at (0.110, 0.283, 0.318), Be at (0.183, 0.133, 0.553) and Se at (0.254, 0.986, 0.782).

No. 19
A relaxed LiPbAu2 crystal, computed with PBE-GGA.

Its crystal system is orthorhombic. The calculation puts the formation enthalpy at 0 K at -86 kJ/mol of formula units. As for the spin magnetization: 0.000 μB/cell.

The space group is Pmm2 (No. 25) and the conventional cell measures 3.556, 3.583 and 6.277 Å, with angles of 90.00, 90.00 and 90.00 degrees. Symmetry generates all atoms from Li at (0.000, 0.000, 0.000), Pb at (0.500, 0.500, 0.692), Au at (0.000, 0.000, 0.426) and Au at (0.500, 0.500, 0.176).

No. 20
A relaxed NaLaBe2Cu crystal, computed with PBE-GGA.

Its crystal system is tetragonal. The calculation puts the formation enthalpy at 0 K at 689 kJ/mol of formula units. As for the spin magnetization: 0.000 μB/cell.

The space group is P4/mmm (No. 123) and the conventional cell measures 4.610, 4.610 and 5.562 Å, with angles of 90.00, 90.00 and 90.00 degrees. Symmetry generates all atoms from Na at (0.000, 0.000, 0.000), La at (0.000, 0.000, 0.500), Be at (0.000, 0.500, 0.000) and Cu at (0.500, 0.500, 0.500).